P2Ir | PBEsol | relaxed

crystal system = monoclinic
energy relative to the elements = -224 kJ/mol of formula units

Lattice parameters (Å, degrees): 5.736 5.786 5.849 90.00 111.48 90.00
Element x y z (fractional)
1 P 0.158 0.120 0.373
2 P 0.158 0.380 0.873
3 P 0.334 0.624 0.690
4 P 0.334 0.876 0.190
5 P 0.666 0.124 0.810
6 P 0.666 0.376 0.310
7 P 0.842 0.620 0.127
8 P 0.842 0.880 0.627
9 Ir 0.272 0.000 0.793
10 Ir 0.272 0.500 0.293
11 Ir 0.728 0.000 0.207
12 Ir 0.728 0.500 0.707

PIrPb | PBEsol | relaxed

crystal system = cubic
DOS(E_F) = 1.922 states/eV per cell
energy relative to the elements = 70 kJ/mol of formula units

Lattice parameters (Å, degrees): 4.369 4.369 4.369 60.00 60.00 60.00
Element x y z (fractional)
1 P 0.000 0.000 0.000
2 Ir 0.750 0.750 0.750
3 Pb 0.500 0.500 0.500

P2IrPbS | PBEsol | relaxed

crystal system = tetragonal
DOS(E_F) = 4.872 states/eV per cell
ΔE_f (raw) = 2133 meV/atom

Lattice parameters (Å, degrees): 4.957 4.957 4.888 90.00 90.00 90.00
Element x y z (fractional)
1 P 0.000 0.500 0.000
2 P 0.500 0.000 0.000
3 Ir 0.000 0.000 0.500
4 Pb 0.500 0.500 0.000
5 S 0.500 0.500 0.500

RePIr2Pd | PBEsol | relaxed

crystal system = tetragonal
DOS(E_F) = 8.207 states/eV per cell
energy relative to the elements = 1080 kJ/mol of formula units

Lattice parameters (Å, degrees): 4.752 4.752 4.105 90.00 90.00 90.00
Element x y z (fractional)
1 Re 0.000 0.000 0.000
2 P 0.500 0.500 0.000
3 Ir 0.000 0.500 0.500
4 Ir 0.500 0.000 0.500
5 Pd 0.500 0.500 0.500

What is the formula in the third record? P2IrPbS